Computed, not measured: a relaxed structure of SrYNi2 at the PBE level of DFT.

Cell and atoms, written as CIF:
```
data_SrYNi2
_cell_length_a 4.067
_cell_length_b 4.024
_cell_length_c 11.538
_cell_angle_alpha 90.00
_cell_angle_beta 90.00
_cell_angle_gamma 90.00
_symmetry_space_group_name_H-M 'A m m 2'
_symmetry_Int_Tables_number 38
loop_
_symmetry_equiv_pos_as_xyz
'x,y,z'
'-x,-y,z'
'-x,y,z'
'x,-y,z'
'x,y+1/2,z+1/2'
'-x,-y+1/2,z+1/2'
'-x,y+1/2,z+1/2'
'x,-y+1/2,z+1/2'
loop_
_atom_site_label
_atom_site_type_symbol
_atom_site_fract_x
_atom_site_fract_y
_atom_site_fract_z
_atom_site_occupancy
Sr1 Sr 0.000 0.000 0.000 1
Y1 Y 0.500 0.000 0.273 1
Ni1 Ni 0.000 0.000 0.718 1
Ni2 Ni 0.500 0.000 0.610 1
```

excess energy over the best structure of this formula in the dataset: 0.0 meV per atom
density of states at the Fermi level: 0.9332 states/eV/atom
E_form: -174 meV per atom

=====

Computed, not measured: a relaxed structure of Sr2MgNb2 at the PBE level of DFT.

Cell and atoms, written as CIF:
```
data_Sr2MgNb2
_cell_length_a 9.397
_cell_length_b 9.397
_cell_length_c 3.663
_cell_angle_alpha 90.00
_cell_angle_beta 90.00
_cell_angle_gamma 90.00
_symmetry_space_group_name_H-M 'P 4/m b m'
_symmetry_Int_Tables_number 127
_symmetry_space_group_name_Hall '-P 4 2ab'
loop_
_atom_site_label
_atom_site_type_symbol
_atom_site_fract_x
_atom_site_fract_y
_atom_site_fract_z
_atom_site_occupancy
Sr1 Sr 0.204 0.296 0.000 1
Mg1 Mg 0.000 0.000 0.500 1
Nb1 Nb 0.083 0.583 0.500 1
```

excess energy over the best structure of this formula in the dataset: 215.8 meV per atom
density of states at the Fermi level: 0.7094 states/eV/atom
E_form: 739 meV per atom

=====

Computed, not measured: a relaxed structure of ZnCrSi2 at the PBE level of DFT.

Cell and atoms, written as CIF:
```
data_ZnCrSi2
_cell_length_a 3.593
_cell_length_b 3.966
_cell_length_c 7.738
_cell_angle_alpha 90.00
_cell_angle_beta 90.00
_cell_angle_gamma 90.00
_symmetry_space_group_name_H-M 'C m m m'
_symmetry_Int_Tables_number 65
_symmetry_space_group_name_Hall '-C 2 2'
loop_
_atom_site_label
_atom_site_type_symbol
_atom_site_fract_x
_atom_site_fract_y
_atom_site_fract_z
_atom_site_occupancy
Zn1 Zn 0.000 0.000 0.000 1
Cr1 Cr 0.000 0.000 0.500 1
Si1 Si 0.000 0.500 0.281 1
```

density of states at the Fermi level: 0.7617 states/eV/atom
formation energy without anion corrections: 0.156 eV per atom